[1]
CaFeRu4: relaxed, PBE-GGA.

Results
E_form ... 9.64 kcal/mol of atoms
Total moment ... 18.19 μB/cell

Lattice parameters (Å, degrees): 7.3461 7.3461 7.3461 90.00 90.00 90.00
Space group F-43m (No. 216)
One atom of each set of equivalent atoms:
1 Ca 0.0000 0.0000 0.0000 (multiplicity 4)
2 Fe 0.2500 0.2500 0.7500 (multiplicity 4)
3 Ru 0.1244 0.1244 0.3756 (multiplicity 16)

***

[2]
CaFeRu: relaxed, PBE-GGA.

Results
E above lowest polymorph ... 4.16 eV per formula unit
E_form ... 34.82 kcal/mol of atoms
Total moment ... 15.96 μB/cell

Lattice parameters (Å, degrees): 6.3059 6.3059 6.3059 90.00 90.00 90.00
Space group F-43m (No. 216)
One atom of each set of equivalent atoms:
1 Ca 0.0000 0.0000 0.0000 (multiplicity 4)
2 Fe 0.2500 0.2500 0.7500 (multiplicity 4)
3 Ru 0.2500 0.2500 0.2500 (multiplicity 4)

***

[3]
CaFeRu: relaxed, PBE-GGA.

Results
E above lowest polymorph ... 0.45 eV per formula unit
E_form ... 6.31 kcal/mol of atoms
Total moment ... 6.62 μB/cell

Lattice parameters (Å, degrees): 11.0181 3.9909 6.0099 90.00 115.71 90.00
Space group Cm (No. 8)
One atom of each set of equivalent atoms:
1 Ca 0.0000 0.0000 0.0000 (multiplicity 2)
2 Ca 0.2272 0.0000 0.5869 (multiplicity 2)
3 Fe 0.0160 0.5000 0.6060 (multiplicity 2)
4 Fe 0.3291 0.0000 0.1596 (multiplicity 2)
5 Ru 0.2064 0.5000 0.9801 (multiplicity 2)
6 Ru 0.4140 0.5000 0.4436 (multiplicity 2)

***

| no. | calculated volume (Å³ per cell) |
| --- | --- |
| 1 | 396.4 |
| 2 | 250.8 |
| 3 | 238.1 |